Record 1
The following is a PBE calculation of an optimized crystal structure of LiP2Ru2, from the Alexandria database.

Calculated values
ΔH_f (0 K) = -425 meV per atom
V = 13.36 A^3/atom
E_tot = -6.682 eV/atom

a = 6.8864 Å, b = 6.8864 Å, c = 2.8172 Å
α = 90.00°, β = 90.00°, γ = 90.00°
Last column: nearest neighbours and their distance in Å.
Fractional positions:
Li  0.0000  0.0000  0.0000  4 P 2.62, 2 Li 2.82
Li  0.5000  0.5000  0.0000  4 P 2.62, 2 Li 2.82
P  0.1504  0.3496  0.0000  6 Ru 2.44-2.48, 2 Li 2.62
P  0.3496  0.8496  0.0000  6 Ru 2.44-2.48, 2 Li 2.62
P  0.6504  0.1504  0.0000  6 Ru 2.44-2.48, 2 Li 2.62
P  0.8496  0.6504  0.0000  6 Ru 2.44-2.48, 2 Li 2.62
Ru  0.1455  0.6455  0.5000  6 P 2.44-2.48
Ru  0.3545  0.1455  0.5000  6 P 2.44-2.48
Ru  0.6455  0.8545  0.5000  6 P 2.44-2.48
Ru  0.8545  0.3545  0.5000  6 P 2.44-2.48

Record 2
The following is a PBE calculation of an optimized crystal structure of LiPRu2, from the Alexandria database.

Calculated values
ΔH_f (0 K) = -101 meV per atom
V = 13.99 A^3/atom
E_tot = -6.570 eV/atom

a = 8.0287 Å, b = 8.0287 Å, c = 8.0287 Å
α = 20.58°, β = 20.58°, γ = 20.58°
Last column: nearest neighbours and their distance in Å.
Fractional positions:
Li  0.0000  0.0000  0.0000  6 Ru 2.80, 6 Li 2.87
P  0.5000  0.5000  0.5000  6 Ru 2.36
Ru  0.2377  0.2377  0.2377  3 P 2.36
Ru  0.7623  0.7623  0.7623  3 P 2.36

Record 3
The following is a PBE calculation of an optimized crystal structure of LiPRu2, from the Alexandria database.

Calculated values
ΔH_f (0 K) = 103 meV per atom
V = 12.92 A^3/atom
E_tot = -6.366 eV/atom

a = 2.8999 Å, b = 3.9164 Å, c = 4.5488 Å
α = 90.00°, β = 90.00°, γ = 90.00°
Last column: nearest neighbours and their distance in Å.
Fractional positions:
Li  0.0000  0.0000  0.0000  4 Ru 2.44, 4 P 2.70
P  0.5000  0.0000  0.5000  4 Ru 2.44, 4 Li 2.70
Ru  0.0000  0.5000  0.5000  4 P 2.44, 4 Ru 2.70
Ru  0.5000  0.5000  0.0000  4 Li 2.44, 4 Ru 2.70

Record 4
The following is a PBE calculation of an optimized crystal structure of LiPRu2, from the Alexandria database.

Calculated values
ΔH_f (0 K) = -71 meV per atom
V = 12.81 A^3/atom
E_tot = -6.539 eV/atom

a = 2.7839 Å, b = 3.7331 Å, c = 4.9292 Å
α = 90.00°, β = 90.00°, γ = 90.00°
Last column: nearest neighbours and their distance in Å.
Fractional positions:
Li  0.0000  0.0000  0.0000  6 Ru 2.42-2.62, 4 P 2.63
P  0.5000  0.5000  0.2479  6 Ru 2.42-2.62, 4 Li 2.63
Ru  0.0000  0.0000  0.4901  2 Li 2.42-2.51, 4 P 2.62, 4 Ru 2.67
Ru  0.5000  0.5000  0.7560  2 P 2.42-2.50, 4 Li 2.62, 4 Ru 2.67

Record 5
The following is a PBE calculation of an optimized crystal structure of LiPRu2, from the Alexandria database.

Calculated values
ΔH_f (0 K) = -182 meV per atom
V = 13.25 A^3/atom
E_tot = -6.650 eV/atom

a = 2.8925 Å, b = 3.5513 Å, c = 5.2989 Å
α = 90.00°, β = 103.13°, γ = 90.00°
Last column: nearest neighbours and their distance in Å.
Fractional positions:
Li  0.0000  0.0000  0.0000  8 Ru 2.62-2.73, 2 P 2.65, 2 Li 2.89
P  0.0000  0.0000  0.5000  4 Ru 2.26
Ru  0.3517  0.5000  0.7317  2 P 2.26
Ru  0.6483  0.5000  0.2683  2 P 2.26

Record 6
The following is a PBE calculation of an optimized crystal structure of LiPRu2, from the Alexandria database.

Calculated values
ΔH_f (0 K) = -235 meV per atom
V = 11.97 A^3/atom
E_tot = -6.704 eV/atom

a = 4.0470 Å, b = 4.0470 Å, c = 2.9240 Å
α = 90.00°, β = 90.00°, γ = 90.00°
Last column: nearest neighbours and their distance in Å.
Fractional positions:
Li  0.0000  0.0000  0.0000  8 Ru 2.50
P  0.5000  0.5000  0.0000  8 Ru 2.50
Ru  0.0000  0.5000  0.5000  4 P 2.50, 4 Li 2.50
Ru  0.5000  0.0000  0.5000  4 P 2.50, 4 Li 2.50

Record 7
The following is a PBE calculation of an optimized crystal structure of LiPRu3, from the Alexandria database.

Calculated values
ΔH_f (0 K) = 1166 meV per atom
energy above the most stable polymorph in this dataset = 822 meV/atom
V = 13.50 A^3/atom
E_tot = -5.865 eV/atom

a = 4.0716 Å, b = 4.0716 Å, c = 4.0716 Å
α = 90.00°, β = 90.00°, γ = 90.00°
Last column: nearest neighbours and their distance in Å.
Fractional positions:
Li  0.0000  0.0000  0.0000  6 Ru 2.04
P  0.5000  0.5000  0.5000  12 Ru 2.88
Ru  0.0000  0.0000  0.5000  2 Li 2.04
Ru  0.0000  0.5000  0.0000  2 Li 2.04
Ru  0.5000  0.0000  0.0000  2 Li 2.04

Record 8
The following is a PBE calculation of an optimized crystal structure of LiPRu2, from the Alexandria database.

Calculated values
ΔH_f (0 K) = -197 meV per atom
V = 12.40 A^3/atom
E_tot = -6.666 eV/atom

a = 4.4638 Å, b = 4.4638 Å, c = 4.2330 Å
α = 105.22°, β = 105.22°, γ = 37.74°
Last column: nearest neighbours and their distance in Å.
Fractional positions:
Li  0.0000  0.0000  0.0000  7 Ru 2.37-2.63, 2 P 2.60
P  0.7519  0.7519  0.3066  7 Ru 2.42-2.71, 2 Li 2.60
Ru  0.2490  0.2490  0.8455  3 Li 2.37-2.50, 2 P 2.42
Ru  0.4955  0.4955  0.4792  3 P 2.45-2.47, 4 Li 2.50-2.63, 2 Ru 2.69